(1)
# NpTaTiNb, optimized geometry, DFT GGA-PBE
data_NpTaTiNb
_chemical_formula_sum 'Np4 Ta4 Ti4 Nb4'
_cell_length_a 6.695
_cell_length_b 6.695
_cell_length_c 6.695
_cell_angle_alpha 90.00
_cell_angle_beta 90.00
_cell_angle_gamma 90.00
_space_group_name_H-M_alt 'F -4 3 m'
_space_group_IT_number 216
_space_group_name_Hall 'F -4 2 3'
loop_
_atom_site_label
_atom_site_type_symbol
_atom_site_fract_x
_atom_site_fract_y
_atom_site_fract_z
_atom_site_occupancy
Np1 Np 0.000 0.000 0.000 1
Ta1 Ta 0.250 0.250 0.750 1
Ti1 Ti 0.250 0.250 0.250 1
Nb1 Nb 0.000 0.000 0.500 1
# - total magnetization (μB/f.u.) = 2.64
# - ΔH_f (0 K) (eV per atom) = 0.290
# - total energy (eV per atom) = -10.40

(2)
# MnCo3Te, optimized geometry, DFT GGA-PBE
data_MnCo3Te
_chemical_formula_sum 'Mn1 Co3 Te1'
_cell_length_a 4.549
_cell_length_b 4.549
_cell_length_c 4.549
_cell_angle_alpha 90.00
_cell_angle_beta 90.00
_cell_angle_gamma 90.00
_space_group_name_H-M_alt 'P m -3 m'
_space_group_IT_number 221
_space_group_name_Hall '-P 4 2 3'
loop_
_atom_site_label
_atom_site_type_symbol
_atom_site_fract_x
_atom_site_fract_y
_atom_site_fract_z
_atom_site_occupancy
Mn1 Mn 0.000 0.000 0.000 1
Co1 Co 0.000 0.500 0.500 1
Te1 Te 0.500 0.500 0.500 1
# - ΔE_f (raw) (eV per atom) = 1.70
# - total magnetization (μB/f.u.) = 3.82
# - relative energy among the computed polymorphs (eV/atom) = 0.644
# - total energy (eV per atom) = -5.03

What is the total energy in the second record? -5.03 eV per atom

The highest total energy belongs to which entry? MnCo3Te

The highest total magnetization belongs to which entry? MnCo3Te